1.
## PH2Ru (PBE)

Data for a geometry-optimized PH2Ru structure.

a b c (Å): 3.479 2.936 7.927
angles (deg): 90.00 114.08 90.00
Element x y z (fractional)
H (0.275, 0.500, 0.072)
H (0.983, 0.500, 0.230)
H (0.275, 0.000, 0.572)
H (0.983, 0.000, 0.730)
Ru (0.252, 0.500, 0.691)
Ru (0.252, 0.000, 0.191)
P (0.555, 0.500, 0.461)
P (0.555, 0.000, 0.961)

Properties
The calculation puts the density of states at the Fermi level at 0.172 states/eV per atom. The calculation puts the total moment at 0.00 Bohr magnetons per cell. For the energy above the lowest structure with this stoichiometry, the calculation gives 0.166 eV per atom. As for the final energy: -5.2592 eV per atom.

2.
## PrHoHgAu (PBE)

Data for a geometry-optimized PrHoHgAu structure.

a b c (Å): 3.697 3.697 7.557
angles (deg): 90.00 90.00 90.00
Last column: magnetic moment on the atom in μB.
Element x y z (fractional)
Hg (0.000, 0.000, 0.837)  0.01
Pr (0.500, 0.500, 0.114)  0.11
Ho (0.500, 0.500, 0.591)  0.00
Au (0.000, 0.000, 0.386)  0.00

Properties
The calculation puts the density of states at the Fermi level at 0.971 states/eV per atom. The calculation puts the total moment at 0.21 Bohr magnetons per cell. For the energy above the lowest structure with this stoichiometry, the calculation gives 0.000 eV per atom. Its formation energy from the elements is -62 kJ per mole of atoms. As for the final energy: -3.8762 eV per atom.

3.
## EuThRuAu (PBE)

Data for a geometry-optimized EuThRuAu structure.

a b c (Å): 5.105 5.105 5.105
angles (deg): 60.00 60.00 60.00
Last column: magnetic moment on the atom in μB.
Element x y z (fractional)
Au (0.750, 0.750, 0.750)  0.02
Ru (0.250, 0.250, 0.250)  -0.20
Eu (0.000, 0.000, 0.000)  6.78
Th (0.500, 0.500, 0.500)  0.10

Properties
The calculation puts the density of states at the Fermi level at 0.806 states/eV per atom. The calculation puts the total moment at 7.02 Bohr magnetons per cell. Its formation energy from the elements is -35 kJ per mole of atoms. As for the final energy: -7.9214 eV per atom.